# 1
Compound: MgGaAu3
Source: Alexandria via LeMat-Bulk
Functional: SCAN
Structure: single point on PBEsol structure

Computed properties:
The value obtained for the volume is 23.595 Å³ per atom. The calculation puts the total DFT energy (no corrections) at -45.377 eV/atom. The energy of formation from the pure elements is 381 meV/atom. Its density of states at the Fermi level is 0.688 states/eV/f.u. As for the crystal system: cubic.

a = 4.9045 Å, b = 4.9045 Å, c = 4.9045 Å
α = 90.00°, β = 90.00°, γ = 90.00°
Last column: nearest neighbours and their distance in Å.
Space group Pm-3m (No. 221)
One atom of each set of equivalent atoms:
Mg1 0.0000 0.0000 0.0000 (multiplicity 1)  6 Au 2.45
Ga1 0.5000 0.5000 0.5000 (multiplicity 1)  12 Au 3.47
Au1 0.0000 0.0000 0.5000 (multiplicity 3)  2 Mg 2.45



# 2
Compound: Mg2GaWAu
Source: Alexandria via LeMat-Bulk
Functional: SCAN
Structure: single point on PBEsol structure

Computed properties:
The value obtained for the volume is 22.539 Å³ per atom. The calculation puts the total DFT energy (no corrections) at -32.126 eV/atom. The energy of formation from the pure elements is 901 meV/atom. Its density of states at the Fermi level is 2.383 states/eV/f.u. As for the crystal system: tetragonal.

a = 4.8976 Å, b = 4.8976 Å, c = 4.6984 Å
α = 90.00°, β = 90.00°, γ = 90.00°
Last column: nearest neighbours and their distance in Å.
Space group P4/mmm (No. 123)
One atom of each set of equivalent atoms:
Mg1 0.0000 0.5000 0.0000 (multiplicity 2)  2 Au 2.45
Ga1 0.0000 0.0000 0.5000 (multiplicity 1)  2 Au 2.35
W1 0.5000 0.5000 0.5000 (multiplicity 1)  8 Mg 3.39, 4 Ga 3.46
Au1 0.0000 0.0000 0.0000 (multiplicity 1)  2 Ga 2.35, 4 Mg 2.45



# 3
Compound: Ga2MoAu
Source: Alexandria via LeMat-Bulk
Functional: SCAN
Structure: single point on PBEsol structure

Computed properties:
The value obtained for the volume is 15.124 Å³ per atom. The calculation puts the total DFT energy (no corrections) at -34.075 eV/atom. The energy of formation from the pure elements is 109 meV/atom. Its density of states at the Fermi level is 1.911 states/eV/f.u. As for the crystal system: cubic.

a = 6.2315 Å, b = 6.2315 Å, c = 6.2315 Å
α = 90.00°, β = 90.00°, γ = 90.00°
Last column: nearest neighbours and their distance in Å.
Space group Fm-3m (No. 225)
One atom of each set of equivalent atoms:
Ga1 0.2500 0.2500 0.2500 (multiplicity 8)  4 Mo 2.70, 4 Au 2.70
Mo1 0.0000 0.0000 0.0000 (multiplicity 4)  8 Ga 2.70
Au1 0.0000 0.0000 0.5000 (multiplicity 4)  8 Ga 2.70